# 1
Below is a relaxed structure of KRb3Na, with properties calculated at the PBE level.

Summary:
offset from the most stable computed form: 0.073 eV/atom
ρ: 1.209 g cm⁻³
symmetry: No. 221

a b c (Å): 7.5904 7.5904 7.5904
angles (deg): 90.00 90.00 90.00
Last column: nearest neighbours and their distance in Å.
Sites, in units of the cell vectors:
Rb 0.0000 0.0000 0.5000  2 Na 3.80
Rb 0.5000 0.0000 0.0000  2 Na 3.80
Rb 0.0000 0.5000 0.0000  2 Na 3.80
Na 0.0000 0.0000 0.0000  6 Rb 3.80
K 0.5000 0.5000 0.5000  12 Rb 5.37

# 2
Below is a relaxed structure of K8RbNa3, with properties calculated at the PBE level.

Summary:
ρ: 1.001 g cm⁻³
VASP energy: -1.1048 eV per atom
symmetry: No. 162

a b c (Å): 7.8975 7.8975 14.3528
angles (deg): 90.00 90.00 120.00
Last column: nearest neighbours and their distance in Å.
Sites, in units of the cell vectors:
K 0.6667 0.3333 0.4999  3 Rb 4.56, 9 K 4.56-4.73
K 0.9999 0.6639 0.7744  3 Na 4.17-4.19, 6 K 4.54-4.60
K 0.3333 0.6667 0.5001  3 Rb 4.56, 9 K 4.56-4.73
K 0.6639 0.0001 0.7744  3 Na 4.17-4.19, 6 K 4.54-4.60
K 0.3361 0.3361 0.7744  3 Na 4.17-4.19, 6 K 4.54-4.60
K 0.3361 0.9999 0.2256  3 Na 4.17-4.19, 6 K 4.54-4.60
K 0.0001 0.3361 0.2256  3 Na 4.17-4.19, 6 K 4.54-4.60
K 0.6639 0.6639 0.2256  3 Na 4.17-4.19, 6 K 4.54-4.60
Na 0.6667 0.3333 0.0001  6 K 4.17, 6 Na 4.56
Na 0.0000 0.0000 0.0000  6 K 4.19, 6 Na 4.56
Na 0.3333 0.6667 0.9999  6 K 4.17, 6 Na 4.56
Rb 0.0000 0.0000 0.5000  12 K 4.56-4.75

# 3
Below is a relaxed structure of K2RbNa6, with properties calculated at the PBE level.

Summary:
offset from the most stable computed form: 0.000 eV/atom
ρ: 1.117 g cm⁻³
symmetry: No. 12

a b c (Å): 4.1838 11.9321 11.9321
angles (deg): 55.26 69.17 69.17
Last column: nearest neighbours and their distance in Å.
Sites, in units of the cell vectors:
Na 0.5000 0.3362 0.6638  3 Na 3.63-3.75
Na 0.8232 0.0003 0.6632  3 Na 3.65-3.75
Na 0.5000 0.6638 0.3362  3 Na 3.63-3.75
Na 0.1768 0.9997 0.3368  3 Na 3.65-3.75
Na 0.1768 0.3368 0.9997  3 Na 3.65-3.75
Na 0.8232 0.6632 0.0003  3 Na 3.65-3.75
K 0.3336 0.3334 0.3334  2 K 4.18, 12 Na 4.19-4.27
K 0.6664 0.6666 0.6666  2 K 4.18, 12 Na 4.19-4.27
Rb 0.0000 0.0000 0.0000  2 Rb 4.18, 12 Na 4.26-4.33

# 4
Below is a relaxed structure of K2RbNa9, with properties calculated at the PBE level.

Summary:
ρ: 1.092 g cm⁻³
VASP energy: -1.2409 eV per atom
symmetry: No. 166

a b c (Å): 7.3158 7.3158 12.8653
angles (deg): 73.48 73.48 60.00
Last column: nearest neighbours and their distance in Å.
Sites, in units of the cell vectors:
Na 0.5000 0.5000 0.5000  6 Na 3.71
Na 0.5838 0.0820 0.7503  7 Na 3.64-3.71
Na 0.6666 0.6666 0.0002  6 Na 3.69-3.70
Na 0.5838 0.5838 0.7503  7 Na 3.64-3.71
Na 0.3334 0.3334 0.9998  6 Na 3.69-3.70
Na 0.9180 0.4162 0.2497  7 Na 3.64-3.71
Na 0.4162 0.4162 0.2497  7 Na 3.64-3.71
Na 0.0820 0.5838 0.7503  7 Na 3.64-3.71
Na 0.4162 0.9180 0.2497  7 Na 3.64-3.71
K 0.8567 0.8567 0.4299  12 Na 4.26-4.43, 3 K 4.55
K 0.1433 0.1433 0.5701  12 Na 4.26-4.43, 3 K 4.55
Rb 0.0000 0.0000 0.0000  6 Na 4.22

# 5
Below is a relaxed structure of K4Rb4Na3, with properties calculated at the PBE level.

Summary:
offset from the most stable computed form: 0.000 eV/atom
ρ: 1.260 g cm⁻³
symmetry: No. 2

a b c (Å): 4.8956 4.8922 31.4075
angles (deg): 94.42 94.47 90.21
Last column: nearest neighbours and their distance in Å.
Sites, in units of the cell vectors:
K 0.2753 0.2758 0.5488  8 K 4.60-4.90, 4 Rb 4.82-4.84
K 0.7247 0.7242 0.4512  8 K 4.60-4.90, 4 Rb 4.82-4.84
K 0.0929 0.0918 0.1888  4 Na 4.09-4.11
K 0.9070 0.9083 0.8112  4 Na 4.09-4.11
Na 0.0000 0.0000 0.0000  8 Rb 4.28-4.29
Na 0.3721 0.3737 0.7406  4 K 4.09-4.11, 4 Rb 4.33-4.34
Na 0.6279 0.6264 0.2594  4 K 4.09-4.11, 4 Rb 4.33-4.34
Rb 0.1698 0.1681 0.3432  4 Na 4.33-4.34, 5 K 4.82-4.84
Rb 0.8302 0.8320 0.6568  4 Na 4.33-4.34, 5 K 4.82-4.84
Rb 0.5398 0.5399 0.0811  4 Na 4.28-4.29
Rb 0.4602 0.4601 0.9189  4 Na 4.28-4.29

# 6
Below is a relaxed structure of K5Rb2Na2, with properties calculated at the PBE level.

Summary:
offset from the most stable computed form: 0.000 eV/atom
ρ: 1.088 g cm⁻³
symmetry: No. 64

a b c (Å): 9.6642 9.6739 14.3052
angles (deg): 109.76 90.00 90.00
Last column: nearest neighbours and their distance in Å.
Sites, in units of the cell vectors:
K 0.1770 0.4367 0.2267  3 Na 4.10-4.24
K 0.1770 0.2099 0.7733  3 Na 4.10-4.24
K 0.6770 0.0633 0.7733  3 Na 4.10-4.24
K 0.8230 0.5633 0.7733  3 Na 4.10-4.24
K 0.5000 0.5000 0.0000  4 Na 3.84
K 0.0000 0.0000 0.0000  4 Na 3.84
K 0.6770 0.2901 0.2267  3 Na 4.10-4.24
K 0.3230 0.9367 0.2267  3 Na 4.10-4.24
K 0.3230 0.7099 0.7733  3 Na 4.10-4.24
K 0.8230 0.7901 0.2267  3 Na 4.10-4.24
Rb 0.0000 0.7671 0.5341  6 K 4.79-4.80, 4 Rb 4.92
Rb 0.5000 0.2671 0.5341  6 K 4.79-4.80, 4 Rb 4.92
Rb 0.0000 0.2329 0.4659  6 K 4.79-4.80, 4 Rb 4.92
Rb 0.5000 0.7329 0.4659  6 K 4.79-4.80, 4 Rb 4.92
Na 0.8775 0.3772 0.0000  1 Na 3.36
Na 0.6225 0.8772 0.0000  1 Na 3.36
Na 0.1225 0.6228 0.0000  1 Na 3.36
Na 0.3775 0.1228 0.0000  1 Na 3.36